Record 1
A relaxed structure of Ho3Er4PuS8, computed with PBE.

## Properties
final energy	-6.912	eV/atom
E_form (uncorrected)	-1.953	eV per atom
DOS(E_F)	11.7	states/eV/f.u.

Lattice parameters (Å, degrees): 7.7620 7.7620 19.0169 90.00 90.00 120.00
Space group R-3m (No. 166, hexagonal axes)
Inequivalent atoms, fractional coordinates:
1 Ho 0.0000 0.5000 0.0000 [9 per cell]
2 Er 0.0000 0.0000 0.5000 [3 per cell]
3 Er 0.0000 0.5000 0.5000 [9 per cell]
4 Pu 0.0000 0.0000 0.0000 [3 per cell]
5 S 0.0000 0.0000 0.2493 [6 per cell]
6 S 0.0024 0.5012 0.2488 [18 per cell]

Record 2
A relaxed structure of Ho2ErPuSb4, computed with PBE.

## Properties
final energy	-6.539	eV/atom
E_form (uncorrected)	-0.971	eV per atom
DOS(E_F)	16.5	states/eV/f.u.

Lattice parameters (Å, degrees): 7.5798 4.3860 7.5818 90.00 109.45 90.00
Space group P2/m (No. 10)
Inequivalent atoms, fractional coordinates:
1 Ho 0.0000 0.0000 0.0000 [1 per cell]
2 Ho 0.5000 0.5000 0.0000 [1 per cell]
3 Er 0.0000 0.5000 0.5000 [1 per cell]
4 Pu 0.5000 0.0000 0.5000 [1 per cell]
5 Sb 0.2484 0.0000 0.7501 [2 per cell]
6 Sb 0.2479 0.5000 0.2486 [2 per cell]

Record 3
A relaxed structure of HoEr2PuSc4, computed with PBE.

## Properties
final energy	-6.209	eV/atom
calculated formation energy	3.69	eV per formula unit
DOS(E_F)	19.6	states/eV/f.u.

Lattice parameters (Å, degrees): 6.4724 11.1431 12.3375 90.00 90.00 90.00
Space group Imma (No. 74)
Inequivalent atoms, fractional coordinates:
1 Ho 0.2500 0.2500 0.2500 [4 per cell]
2 Er 0.0000 0.0000 0.0000 [4 per cell]
3 Er 0.2500 0.2500 0.7500 [4 per cell]
4 Pu 0.0000 0.0000 0.5000 [4 per cell]
5 Sc 0.0000 0.9996 0.2618 [8 per cell]
6 Sc 0.2352 0.2500 0.5005 [8 per cell]

Record 4
A relaxed structure of Ho6Er3PuSc2, computed with PBE.

## Properties
final energy	-5.428	eV/atom
calculated formation energy	3.02	eV per formula unit
DOS(E_F)	25.8	states/eV/f.u.

Lattice parameters (Å, degrees): 5.9682 10.3448 11.4134 90.00 100.14 90.00
Space group C2/m (No. 12)
Inequivalent atoms, fractional coordinates:
1 Ho 0.2450 0.1642 0.2419 [8 per cell]
2 Ho 0.2477 0.0000 0.7579 [4 per cell]
3 Er 0.0000 0.1679 0.5000 [4 per cell]
4 Er 0.0000 0.5000 0.5000 [2 per cell]
5 Pu 0.0000 0.0000 0.0000 [2 per cell]
6 Sc 0.0000 0.3333 0.0000 [4 per cell]

Record 5
A relaxed structure of Ho2Er6PuSc3, computed with PBE.

## Properties
final energy	-5.434	eV/atom
calculated formation energy	4.65	eV per formula unit
DOS(E_F)	15.6	states/eV/f.u.

Lattice parameters (Å, degrees): 9.8930 14.5799 5.3807 90.00 107.13 90.00
Space group C2/m (No. 12)
Inequivalent atoms, fractional coordinates:
1 Ho 0.0000 0.1193 0.0000 [4 per cell]
2 Er 0.1684 0.0000 0.5556 [4 per cell]
3 Er 0.1749 0.3274 0.1090 [8 per cell]
4 Pu 0.0000 0.5000 0.0000 [2 per cell]
5 Sc 0.0000 0.2512 0.5000 [4 per cell]
6 Sc 0.0000 0.5000 0.5000 [2 per cell]

Record 6
A relaxed structure of Ho6Er2PuSc3, computed with PBE.

## Properties
final energy	-5.764	eV/atom
calculated formation energy	0.75	eV per formula unit
DOS(E_F)	24.5	states/eV/f.u.

Lattice parameters (Å, degrees): 5.9840 10.3632 11.3150 90.00 100.16 90.00
Space group C2/m (No. 12)
Inequivalent atoms, fractional coordinates:
1 Ho 0.2447 0.0000 0.2438 [4 per cell]
2 Ho 0.2489 0.3348 0.2438 [8 per cell]
3 Er 0.0000 0.3334 0.5000 [4 per cell]
4 Pu 0.0000 0.0000 0.5000 [2 per cell]
5 Sc 0.0000 0.1673 0.0000 [4 per cell]
6 Sc 0.0000 0.5000 0.0000 [2 per cell]

Record 7
A relaxed structure of Ho4ErPu3Se8, computed with PBE.

## Properties
final energy	-7.565	eV/atom
E_form (uncorrected)	-1.705	eV per atom
DOS(E_F)	27.2	states/eV/f.u.

Lattice parameters (Å, degrees): 14.1189 8.1523 8.1981 90.00 125.05 90.00
Space group C2/m (No. 12)
Inequivalent atoms, fractional coordinates:
1 Ho 0.0000 0.0000 0.0000 [2 per cell]
2 Ho 0.0000 0.5000 0.0000 [2 per cell]
3 Ho 0.2500 0.2500 0.0000 [4 per cell]
4 Er 0.0000 0.0000 0.5000 [2 per cell]
5 Pu 0.0000 0.5000 0.5000 [2 per cell]
6 Pu 0.2500 0.2500 0.5000 [4 per cell]
7 Se 0.0027 0.2475 0.7541 [8 per cell]
8 Se 0.2482 0.0000 0.2430 [4 per cell]
9 Se 0.2494 0.0000 0.7549 [4 per cell]

Record 8
A relaxed structure of Ho3ErPu3Se8, computed with PBE.

## Properties
final energy	-7.663	eV/atom
E_form (uncorrected)	-1.719	eV per atom
DOS(E_F)	33.0	states/eV/f.u.

Lattice parameters (Å, degrees): 8.1638 8.1638 20.1323 90.00 90.00 120.00
Space group R-3m (No. 166, hexagonal axes)
Inequivalent atoms, fractional coordinates:
1 Ho 0.0000 0.5000 0.0000 [9 per cell]
2 Er 0.0000 0.0000 0.0000 [3 per cell]
3 Pu 0.0000 0.5000 0.5000 [9 per cell]
4 Se 0.0000 0.0000 0.2518 [6 per cell]
5 Se 0.0028 0.5014 0.2521 [18 per cell]

Record 9
A relaxed structure of Ho4Er3PuSe8, computed with PBE.

## Properties
final energy	-6.339	eV/atom
E_form (uncorrected)	-1.701	eV per atom
DOS(E_F)	12.9	states/eV/f.u.

Lattice parameters (Å, degrees): 8.1154 8.1154 19.8880 90.00 90.00 120.00
Space group R-3m (No. 166, hexagonal axes)
Inequivalent atoms, fractional coordinates:
1 Ho 0.0000 0.0000 0.0000 [3 per cell]
2 Ho 0.0000 0.5000 0.0000 [9 per cell]
3 Er 0.0000 0.5000 0.5000 [9 per cell]
4 Pu 0.0000 0.0000 0.5000 [3 per cell]
5 Se 0.0000 0.0000 0.2494 [6 per cell]
6 Se 0.0035 0.5018 0.7497 [18 per cell]

Record 10
A relaxed structure of HoEr3Pu2Se6, computed with PBE.

## Properties
final energy	-7.327	eV/atom
E_form (uncorrected)	-1.674	eV per atom
DOS(E_F)	17.9	states/eV/f.u.

Lattice parameters (Å, degrees): 17.7804 4.0545 8.1854 90.00 103.64 90.00
Space group C2/m (No. 12)
Inequivalent atoms, fractional coordinates:
1 Ho 0.0000 0.0000 0.0000 [2 per cell]
2 Er 0.0000 0.0000 0.5000 [2 per cell]
3 Er 0.1680 0.5000 0.8336 [4 per cell]
4 Pu 0.1658 0.5000 0.3329 [4 per cell]
5 Se 0.0031 0.5000 0.7504 [4 per cell]
6 Se 0.1651 0.0000 0.5878 [4 per cell]
7 Se 0.1664 0.0000 0.0769 [4 per cell]

Record 11
A relaxed structure of Ho2Er3PuSe6, computed with PBE.

## Properties
final energy	-6.539	eV/atom
E_form (uncorrected)	-1.699	eV per atom
DOS(E_F)	8.0	states/eV/f.u.

Lattice parameters (Å, degrees): 17.7127 4.0372 8.1540 90.00 103.41 90.00
Space group C2/m (No. 12)
Inequivalent atoms, fractional coordinates:
1 Ho 0.1634 0.0000 0.3281 [4 per cell]
2 Er 0.0000 0.5000 0.5000 [2 per cell]
3 Er 0.1645 0.0000 0.8354 [4 per cell]
4 Pu 0.0000 0.5000 0.0000 [2 per cell]
5 Se 0.0006 0.0000 0.7441 [4 per cell]
6 Se 0.1678 0.5000 0.5844 [4 per cell]
7 Se 0.1699 0.5000 0.0842 [4 per cell]

Record 12
A relaxed structure of HoErPu2Se5, computed with PBE.

## Properties
final energy	-7.298	eV/atom
E_form (uncorrected)	-1.162	eV per atom
DOS(E_F)	31.3	states/eV/f.u.

Lattice parameters (Å, degrees): 5.1079 5.1079 10.7097 90.00 90.00 90.00
Space group P4/mmm (No. 123)
Inequivalent atoms, fractional coordinates:
1 Ho 0.0000 0.0000 0.0000 [1 per cell]
2 Er 0.0000 0.0000 0.5000 [1 per cell]
3 Pu 0.5000 0.5000 0.3066 [2 per cell]
4 Se 0.0000 0.0000 0.2441 [2 per cell]
5 Se 0.0000 0.5000 0.5000 [2 per cell]
6 Se 0.5000 0.5000 0.0000 [1 per cell]